*P*
TiVF3 | GGA+U | relaxed

## Properties
**Calculated volume**: 73.0 Å³ per cell
**Space group**: No. 221

The structure in CIF format:
```
data_TiVF3
_chemical_formula_sum 'Ti1 V1 F3'
_cell_length_a 4.180
_cell_length_b 4.180
_cell_length_c 4.180
_cell_angle_alpha 90.00
_cell_angle_beta 90.00
_cell_angle_gamma 90.00
_symmetry_space_group_name_H-M 'P 1'
_symmetry_Int_Tables_number 1
loop_
_symmetry_equiv_pos_as_xyz
'x,y,z'
loop_
_atom_site_label
_atom_site_type_symbol
_atom_site_fract_x
_atom_site_fract_y
_atom_site_fract_z
F1 F 0.000 0.500 0.000
F2 F 0.500 0.000 0.000
F3 F 0.000 0.000 0.500
V1 V 0.000 0.000 0.000
Ti1 Ti 0.500 0.500 0.500
```

*Q*
TiVF3 | GGA+U | relaxed

## Properties
**Calculated volume**: 70.9 Å³ per cell
**Space group**: No. 221

The structure in CIF format:
```
data_TiVF3
_chemical_formula_sum 'Ti1 V1 F3'
_cell_length_a 4.140
_cell_length_b 4.140
_cell_length_c 4.140
_cell_angle_alpha 90.00
_cell_angle_beta 90.00
_cell_angle_gamma 90.00
_symmetry_space_group_name_H-M 'P 1'
_symmetry_Int_Tables_number 1
loop_
_symmetry_equiv_pos_as_xyz
'x,y,z'
loop_
_atom_site_label
_atom_site_type_symbol
_atom_site_fract_x
_atom_site_fract_y
_atom_site_fract_z
Ti1 Ti 0.000 0.000 0.000
V1 V 0.500 0.500 0.500
F1 F 0.000 0.000 0.500
F2 F 0.500 0.000 0.000
F3 F 0.000 0.500 0.000
```

Stability summary - winner: *Q*; margin: 29 meV per atom.

*P*
TiV2F8 | GGA+U | relaxed

## Properties
**Calculated volume**: 142.6 Å³ per cell
**Space group**: No. 12

The structure in CIF format:
```
data_TiV2F8
_chemical_formula_sum 'Ti1 V2 F8'
_cell_length_a 4.343
_cell_length_b 6.913
_cell_length_c 5.881
_cell_angle_alpha 126.03
_cell_angle_beta 87.77
_cell_angle_gamma 90.00
_symmetry_space_group_name_H-M 'P 1'
_symmetry_Int_Tables_number 1
loop_
_symmetry_equiv_pos_as_xyz
'x,y,z'
loop_
_atom_site_label
_atom_site_type_symbol
_atom_site_fract_x
_atom_site_fract_y
_atom_site_fract_z
F1 F 0.246 0.598 0.196
F2 F 0.768 0.295 0.192
F3 F 0.232 0.705 0.807
V1 V 0.257 0.376 0.752
V2 V 0.743 0.624 0.248
F4 F 0.750 0.841 0.683
F5 F 0.754 0.402 0.804
Ti1 Ti 0.000 0.000 0.000
F6 F 0.250 0.159 0.317
F7 F 0.232 0.103 0.808
F8 F 0.768 0.897 0.192
```

*Q*
TiV2F8 | GGA+U | relaxed

## Properties
**Calculated volume**: 138.9 Å³ per cell
**Space group**: No. 12

The structure in CIF format:
```
data_TiV2F8
_chemical_formula_sum 'Ti1 V2 F8'
_cell_length_a 4.993
_cell_length_b 5.449
_cell_length_c 5.449
_cell_angle_alpha 76.32
_cell_angle_beta 101.97
_cell_angle_gamma 101.97
_symmetry_space_group_name_H-M 'P 1'
_symmetry_Int_Tables_number 1
loop_
_symmetry_equiv_pos_as_xyz
'x,y,z'
loop_
_atom_site_label
_atom_site_type_symbol
_atom_site_fract_x
_atom_site_fract_y
_atom_site_fract_z
F1 F 0.790 0.154 0.154
V1 V 0.455 0.684 0.684
Ti1 Ti 0.000 0.000 0.000
F2 F 0.210 0.846 0.846
F3 F 0.281 0.331 0.954
F4 F 0.719 0.669 0.046
F5 F 0.750 0.562 0.562
F6 F 0.719 0.046 0.669
F7 F 0.250 0.438 0.438
F8 F 0.281 0.954 0.331
V2 V 0.545 0.316 0.316
```

Stability summary - winner: *P*; margin: 100 meV per atom.

*P*
TiV3F | GGA+U | relaxed

## Properties
**Calculated volume**: 105.8 Å³ per cell
**Space group**: No. 221

The structure in CIF format:
```
data_TiV3F
_chemical_formula_sum 'Ti1 V3 F1'
_cell_length_a 4.730
_cell_length_b 4.730
_cell_length_c 4.730
_cell_angle_alpha 90.00
_cell_angle_beta 90.00
_cell_angle_gamma 90.00
_symmetry_space_group_name_H-M 'P 1'
_symmetry_Int_Tables_number 1
loop_
_symmetry_equiv_pos_as_xyz
'x,y,z'
loop_
_atom_site_label
_atom_site_type_symbol
_atom_site_fract_x
_atom_site_fract_y
_atom_site_fract_z
Ti1 Ti 0.000 0.000 0.000
F1 F 0.500 0.500 0.500
V1 V 0.500 0.000 0.000
V2 V 0.000 0.000 0.500
V3 V 0.000 0.500 0.000
```

*Q*
TiV3F | GGA+U | relaxed

## Properties
**Calculated volume**: 84.0 Å³ per cell
**Space group**: No. 221

The structure in CIF format:
```
data_TiV3F
_chemical_formula_sum 'Ti1 V3 F1'
_cell_length_a 4.379
_cell_length_b 4.379
_cell_length_c 4.379
_cell_angle_alpha 90.00
_cell_angle_beta 90.00
_cell_angle_gamma 90.00
_symmetry_space_group_name_H-M 'P 1'
_symmetry_Int_Tables_number 1
loop_
_symmetry_equiv_pos_as_xyz
'x,y,z'
loop_
_atom_site_label
_atom_site_type_symbol
_atom_site_fract_x
_atom_site_fract_y
_atom_site_fract_z
V1 V 0.000 0.000 0.500
V2 V 0.000 0.500 0.000
Ti1 Ti 0.500 0.500 0.500
F1 F 0.000 0.000 0.000
V3 V 0.500 0.000 0.000
```

Stability summary - winner: *Q*; margin: 1201 meV per atom.

*P*
TiW3F | GGA+U | relaxed

## Properties
**Calculated volume**: 82.2 Å³ per cell
**Space group**: No. 221

The structure in CIF format:
```
data_TiW3F
_chemical_formula_sum 'Ti1 W3 F1'
_cell_length_a 4.347
_cell_length_b 4.347
_cell_length_c 4.347
_cell_angle_alpha 90.00
_cell_angle_beta 90.00
_cell_angle_gamma 90.00
_symmetry_space_group_name_H-M 'P 1'
_symmetry_Int_Tables_number 1
loop_
_symmetry_equiv_pos_as_xyz
'x,y,z'
loop_
_atom_site_label
_atom_site_type_symbol
_atom_site_fract_x
_atom_site_fract_y
_atom_site_fract_z
W1 W 0.000 0.000 0.500
W2 W 0.000 0.500 0.000
F1 F 0.000 0.000 0.000
W3 W 0.500 0.000 0.000
Ti1 Ti 0.500 0.500 0.500
```

*Q*
TiW3F | GGA+U | relaxed

## Properties
**Calculated volume**: 114.2 Å³ per cell
**Space group**: No. 221

The structure in CIF format:
```
data_TiW3F
_chemical_formula_sum 'Ti1 W3 F1'
_cell_length_a 4.852
_cell_length_b 4.852
_cell_length_c 4.852
_cell_angle_alpha 90.00
_cell_angle_beta 90.00
_cell_angle_gamma 90.00
_symmetry_space_group_name_H-M 'P 1'
_symmetry_Int_Tables_number 1
loop_
_symmetry_equiv_pos_as_xyz
'x,y,z'
loop_
_atom_site_label
_atom_site_type_symbol
_atom_site_fract_x
_atom_site_fract_y
_atom_site_fract_z
W1 W 0.500 0.000 0.000
F1 F 0.500 0.500 0.500
Ti1 Ti 0.000 0.000 0.000
W2 W 0.000 0.000 0.500
W3 W 0.000 0.500 0.000
```

Stability summary - winner: *P*; margin: 944 meV per atom.

*P*
TiWF2 | GGA+U | relaxed

## Properties
**Calculated volume**: 64.6 Å³ per cell
**Space group**: No. 166

The structure in CIF format:
```
data_TiWF2
_chemical_formula_sum 'Ti1 W1 F2'
_cell_length_a 9.531
_cell_length_b 9.531
_cell_length_c 9.531
_cell_angle_alpha 17.01
_cell_angle_beta 17.01
_cell_angle_gamma 17.01
_symmetry_space_group_name_H-M 'P 1'
_symmetry_Int_Tables_number 1
loop_
_symmetry_equiv_pos_as_xyz
'x,y,z'
loop_
_atom_site_label
_atom_site_type_symbol
_atom_site_fract_x
_atom_site_fract_y
_atom_site_fract_z
F1 F 0.935 0.935 0.935
W1 W 0.500 0.500 0.500
F2 F 0.065 0.065 0.065
Ti1 Ti 0.000 0.000 0.000
```

*Q*
TiWF2 | GGA+U | relaxed

## Properties
**Calculated volume**: 51.1 Å³ per cell
**Space group**: No. 166

The structure in CIF format:
```
data_TiWF2
_chemical_formula_sum 'Ti1 W1 F2'
_cell_length_a 7.858
_cell_length_b 7.858
_cell_length_c 7.858
_cell_angle_alpha 20.30
_cell_angle_beta 20.30
_cell_angle_gamma 20.30
_symmetry_space_group_name_H-M 'P 1'
_symmetry_Int_Tables_number 1
loop_
_symmetry_equiv_pos_as_xyz
'x,y,z'
loop_
_atom_site_label
_atom_site_type_symbol
_atom_site_fract_x
_atom_site_fract_y
_atom_site_fract_z
F1 F 0.102 0.102 0.102
Ti1 Ti 0.500 0.500 0.500
W1 W 0.000 0.000 0.000
F2 F 0.898 0.898 0.898
```

Stability summary - winner: *Q*; margin: 393 meV per atom.

*P*
TiWF2 | GGA+U | relaxed

## Properties
**Calculated volume**: 133.9 Å³ per cell
**Space group**: No. 122

The structure in CIF format:
```
data_TiWF2
_chemical_formula_sum 'Ti2 W2 F4'
_cell_length_a 4.518
_cell_length_b 4.518
_cell_length_c 7.294
_cell_angle_alpha 71.96
_cell_angle_beta 71.96
_cell_angle_gamma 90.00
_symmetry_space_group_name_H-M 'P 1'
_symmetry_Int_Tables_number 1
loop_
_symmetry_equiv_pos_as_xyz
'x,y,z'
loop_
_atom_site_label
_atom_site_type_symbol
_atom_site_fract_x
_atom_site_fract_y
_atom_site_fract_z
Ti1 Ti 0.250 0.750 0.500
F1 F 0.375 0.527 0.750
F2 F 0.875 0.723 0.750
F3 F 0.277 0.625 0.250
Ti2 Ti 0.500 0.500 0.000
W1 W 0.750 0.250 0.500
F4 F 0.473 0.125 0.250
W2 W 0.000 0.000 0.000
```

*Q*
TiWF2 | GGA+U | relaxed

## Properties
**Calculated volume**: 55.9 Å³ per cell
**Space group**: No. 225

The structure in CIF format:
```
data_TiWF2
_chemical_formula_sum 'Ti1 W1 F2'
_cell_length_a 4.291
_cell_length_b 4.291
_cell_length_c 4.291
_cell_angle_alpha 60.00
_cell_angle_beta 60.00
_cell_angle_gamma 60.00
_symmetry_space_group_name_H-M 'P 1'
_symmetry_Int_Tables_number 1
loop_
_symmetry_equiv_pos_as_xyz
'x,y,z'
loop_
_atom_site_label
_atom_site_type_symbol
_atom_site_fract_x
_atom_site_fract_y
_atom_site_fract_z
F1 F 0.750 0.750 0.750
W1 W 0.500 0.500 0.500
F2 F 0.250 0.250 0.250
Ti1 Ti 0.000 0.000 0.000
```

Stability summary - winner: *P*; margin: 621 meV per atom.